(1)
Computed, not measured: Ba2CrPbI after structural relaxation at the PBE-GGA level of DFT.

Values from the calculation:
Formation energy without anion corrections: 0.33 eV per atom
DOS at the Fermi energy: 3.53 states/eV per cell
Crystal system: tetragonal

Unit cell a=6.539 b=6.002 c=6.539 alpha=90.00 beta=90.00 gamma=90.00
Positions (direct):
I 0.000 0.000 0.000
Ba 0.500 0.000 0.000
Ba 0.000 0.000 0.500
Cr 0.500 0.500 0.500
Pb 0.000 0.500 0.000

***

(2)
Computed, not measured: BaCrReI2 after structural relaxation at the PBE-GGA level of DFT.

Values from the calculation:
Formation energy without anion corrections: 1.00 eV per atom
DOS at the Fermi energy: 7.29 states/eV per cell
Crystal system: tetragonal

Unit cell a=5.446 b=5.918 c=5.446 alpha=90.00 beta=90.00 gamma=90.00
Positions (direct):
I 0.000 0.000 0.500
I 0.500 0.000 0.000
Ba 0.000 0.500 0.000
Cr 0.500 0.500 0.500
Re 0.000 0.000 0.000

***

(3)
Computed, not measured: Ba2CrRhI after structural relaxation at the PBE-GGA level of DFT.

Values from the calculation:
Formation energy without anion corrections: -0.28 eV per atom
DOS at the Fermi energy: 3.39 states/eV per cell
Crystal system: tetragonal

Unit cell a=6.238 b=4.745 c=6.238 alpha=90.00 beta=90.00 gamma=90.00
Positions (direct):
I 0.500 0.500 0.500
Ba 0.000 0.000 0.500
Ba 0.500 0.000 0.000
Cr 0.000 0.500 0.000
Rh 0.000 0.000 0.000

***

(4)
Computed, not measured: BaCrS2I after structural relaxation at the PBE-GGA level of DFT.

Values from the calculation:
Formation energy without anion corrections: -0.93 eV per atom
DOS at the Fermi energy: 3.01 states/eV per cell
Crystal system: tetragonal

Unit cell a=4.882 b=5.481 c=4.882 alpha=90.00 beta=90.00 gamma=90.00
Positions (direct):
I 0.000 0.500 0.000
S 0.500 0.000 0.000
S 0.000 0.000 0.500
Cr 0.000 0.000 0.000
Ba 0.500 0.500 0.500

***

(5)
Computed, not measured: BaCrTeI2 after structural relaxation at the PBE-GGA level of DFT.

Values from the calculation:
Formation energy without anion corrections: 0.02 eV per atom
DOS at the Fermi energy: 9.18 states/eV per cell
Offset from the most stable computed form: 0.843 eV/atom
Crystal system: tetragonal

Unit cell a=6.615 b=6.615 c=6.848 alpha=90.00 beta=90.00 gamma=90.00
Positions (direct):
Te 0.000 0.000 0.500
I 0.000 0.500 0.000
I 0.500 0.000 0.000
Ba 0.000 0.000 0.000
Cr 0.500 0.500 0.500

***

(6)
Computed, not measured: BaCrTeI2 after structural relaxation at the PBE-GGA level of DFT.

Values from the calculation:
Formation energy without anion corrections: -0.82 eV per atom
DOS at the Fermi energy: 0.73 states/eV per cell
Offset from the most stable computed form: 0.000 eV/atom
Crystal system: tetragonal

Unit cell a=5.580 b=5.580 c=5.667 alpha=90.00 beta=90.00 gamma=90.00
Positions (direct):
I 0.000 0.500 0.000
I 0.500 0.000 0.000
Te 0.000 0.000 0.500
Ba 0.500 0.500 0.500
Cr 0.000 0.000 0.000

***

(7)
Computed, not measured: BaCr2In after structural relaxation at the PBE-GGA level of DFT.

Values from the calculation:
ΔE_f: 0.7862 eV per atom
DOS at the Fermi energy: 2.61 states/eV per cell
Crystal system: tetragonal

Unit cell a=5.121 b=5.124 c=4.034 alpha=90.00 beta=90.00 gamma=90.00
Positions (direct):
Cr 0.000 0.000 0.000
Cr 0.500 0.500 0.000
In 0.500 0.000 0.500
Ba 0.000 0.500 0.500

***

(8)
Computed, not measured: BaCr2In after structural relaxation at the PBE-GGA level of DFT.

Values from the calculation:
ΔE_f: 0.8609 eV per atom
DOS at the Fermi energy: 2.43 states/eV per cell
Crystal system: tetragonal

Unit cell a=8.510 b=8.510 c=6.923 alpha=52.08 beta=52.08 gamma=90.00
Positions (direct):
Cr 0.560 0.125 0.250
Cr 0.875 0.810 0.750
Cr 0.190 0.625 0.250
Cr 0.375 0.440 0.750
Ba 0.750 0.250 0.500
Ba 0.000 0.000 0.000
In 0.500 0.500 0.000
In 0.250 0.750 0.500

***

(9)
Computed, not measured: BaCr3In after structural relaxation at the PBE-GGA level of DFT.

Values from the calculation:
ΔE_f: 1.0421 eV per atom
DOS at the Fermi energy: 5.03 states/eV per cell
Offset from the most stable computed form: 0.000 eV/atom
Crystal system: cubic

Unit cell a=5.354 b=5.354 c=5.354 alpha=90.00 beta=90.00 gamma=90.00
Positions (direct):
Cr 0.500 0.000 0.000
Cr 0.000 0.000 0.500
Cr 0.000 0.500 0.000
Ba 0.500 0.500 0.500
In 0.000 0.000 0.000

***

(10)
Computed, not measured: Ba2CrIn after structural relaxation at the PBE-GGA level of DFT.

Values from the calculation:
ΔE_f: 0.2122 eV per atom
DOS at the Fermi energy: 0.92 states/eV per cell
Crystal system: cubic

Unit cell a=5.709 b=5.709 c=5.709 alpha=60.00 beta=60.00 gamma=60.00
Positions (direct):
In 0.750 0.750 0.750
Ba 0.000 0.000 0.000
Ba 0.250 0.250 0.250
Cr 0.500 0.500 0.500

***

(11)
Computed, not measured: Ba2CrIn after structural relaxation at the PBE-GGA level of DFT.

Values from the calculation:
ΔE_f: 0.2237 eV per atom
DOS at the Fermi energy: 3.40 states/eV per cell
Crystal system: orthorhombic

Unit cell a=4.287 b=4.174 c=9.454 alpha=63.79 beta=90.00 gamma=90.00
Positions (direct):
In 0.500 0.750 0.750
Ba 0.000 0.501 0.499
Ba 0.000 0.999 0.001
Cr 0.500 0.250 0.250

***

(12)
Computed, not measured: BaCr2In after structural relaxation at the PBE-GGA level of DFT.

Values from the calculation:
ΔE_f: 0.3638 eV per atom
DOS at the Fermi energy: 2.69 states/eV per cell
Crystal system: monoclinic

Unit cell a=3.329 b=3.329 c=8.989 alpha=68.28 beta=90.00 gamma=90.00
Positions (direct):
Cr 0.000 0.909 0.090
Cr 0.500 0.290 0.210
In 0.000 0.565 0.435
Ba 0.500 0.736 0.765

***

(13)
Computed, not measured: BaCr2In after structural relaxation at the PBE-GGA level of DFT.

Values from the calculation:
ΔE_f: 0.6666 eV per atom
DOS at the Fermi energy: 4.87 states/eV per cell
Crystal system: monoclinic

Unit cell a=5.130 b=5.130 c=6.493 alpha=71.92 beta=71.92 gamma=39.11
Positions (direct):
Ba 0.250 0.250 0.250
Cr 0.493 0.493 0.652
Cr 0.007 0.007 0.848
In 0.750 0.750 0.750

***

(14)
Computed, not measured: Ba2CrIn after structural relaxation at the PBE-GGA level of DFT.

Values from the calculation:
ΔE_f: 0.2245 eV per atom
DOS at the Fermi energy: 3.08 states/eV per cell
Crystal system: tetragonal

Unit cell a=3.957 b=3.957 c=9.779 alpha=90.00 beta=90.00 gamma=90.00
Positions (direct):
Cr 0.000 0.000 0.568
In 0.500 0.500 0.683
Ba 0.500 0.500 0.322
Ba 0.000 0.000 0.926

***

(15)
Computed, not measured: Ba2CrIn after structural relaxation at the PBE-GGA level of DFT.

Values from the calculation:
ΔE_f: 0.1856 eV per atom
DOS at the Fermi energy: 3.86 states/eV per cell
Crystal system: monoclinic

Unit cell a=6.940 b=6.940 c=5.856 alpha=64.97 beta=64.97 gamma=35.54
Positions (direct):
Ba 0.974 0.974 0.026
Ba 0.774 0.774 0.726
Cr 0.548 0.548 0.452
In 0.204 0.204 0.296

***

(16)
Computed, not measured: Ba2CrIn after structural relaxation at the PBE-GGA level of DFT.

Values from the calculation:
ΔE_f: 0.4339 eV per atom
DOS at the Fermi energy: 2.67 states/eV per cell
Crystal system: trigonal

Unit cell a=10.752 b=10.752 c=10.752 alpha=23.03 beta=23.03 gamma=23.03
Positions (direct):
Ba 0.502 0.502 0.502
Ba 0.998 0.998 0.998
Cr 0.250 0.250 0.250
In 0.750 0.750 0.750

***

(17)
Computed, not measured: BaCr2In after structural relaxation at the PBE-GGA level of DFT.

Values from the calculation:
ΔE_f: 0.3144 eV per atom
DOS at the Fermi energy: 3.92 states/eV per cell
Crystal system: monoclinic

Unit cell a=4.643 b=4.643 c=6.715 alpha=69.61 beta=69.61 gamma=60.11
Positions (direct):
Cr 0.063 0.063 0.812
Cr 0.734 0.734 0.797
Ba 0.255 0.255 0.234
In 0.448 0.448 0.658

***

(18)
Computed, not measured: Ba2CrIn after structural relaxation at the PBE-GGA level of DFT.

Values from the calculation:
ΔE_f: 0.1595 eV per atom
DOS at the Fermi energy: 4.27 states/eV per cell
Crystal system: orthorhombic

Unit cell a=5.002 b=5.258 c=6.711 alpha=66.93 beta=90.00 gamma=90.00
Positions (direct):
Ba 0.500 0.271 0.333
Ba 0.000 0.981 0.913
Cr 0.000 0.677 0.521
In 0.500 0.571 0.733

***

(19)
Computed, not measured: Ba2CrIn after structural relaxation at the PBE-GGA level of DFT.

Values from the calculation:
ΔE_f: 0.2064 eV per atom
DOS at the Fermi energy: 2.75 states/eV per cell
Crystal system: tetragonal

Unit cell a=4.225 b=5.976 c=5.976 alpha=90.00 beta=90.00 gamma=90.00
Positions (direct):
In 0.500 0.000 0.500
Ba 0.000 0.500 0.500
Ba 0.000 0.000 0.000
Cr 0.500 0.500 0.000

***

(20)
Computed, not measured: BaCr2In after structural relaxation at the PBE-GGA level of DFT.

Values from the calculation:
ΔE_f: 0.5601 eV per atom
DOS at the Fermi energy: 2.54 states/eV per cell
Crystal system: orthorhombic

Unit cell a=5.554 b=5.554 c=5.554 alpha=132.13 beta=116.52 gamma=83.27
Positions (direct):
In 0.545 0.545 0.000
Cr 0.790 0.290 0.500
Cr 0.928 0.928 0.000
Ba 0.237 0.737 0.500

***

(21)
Computed, not measured: BaCr2In after structural relaxation at the PBE-GGA level of DFT.

Values from the calculation:
ΔE_f: 0.6527 eV per atom
DOS at the Fermi energy: 3.96 states/eV per cell
Crystal system: monoclinic

Unit cell a=4.206 b=3.305 c=7.786 alpha=65.83 beta=90.00 gamma=90.00
Positions (direct):
In 0.500 0.250 0.250
Cr 0.000 0.629 0.379
Cr 0.000 0.871 0.121
Ba 0.500 0.750 0.750

***

(22)
Computed, not measured: BaCr3In after structural relaxation at the PBE-GGA level of DFT.

Values from the calculation:
ΔE_f: 2.1546 eV per atom
DOS at the Fermi energy: 4.27 states/eV per cell
Offset from the most stable computed form: 1.113 eV/atom
Crystal system: cubic

Unit cell a=5.236 b=5.236 c=5.236 alpha=90.00 beta=90.00 gamma=90.00
Positions (direct):
Cr 0.000 0.000 0.500
Cr 0.000 0.500 0.000
Cr 0.500 0.000 0.000
Ba 0.000 0.000 0.000
In 0.500 0.500 0.500

***

(23)
Computed, not measured: BaCr2In after structural relaxation at the PBE-GGA level of DFT.

Values from the calculation:
ΔE_f: 0.9244 eV per atom
DOS at the Fermi energy: 3.44 states/eV per cell
Crystal system: trigonal

Unit cell a=10.222 b=10.222 c=10.222 alpha=19.77 beta=19.77 gamma=19.77
Positions (direct):
Cr 0.513 0.513 0.513
Cr 0.987 0.987 0.987
In 0.250 0.250 0.250
Ba 0.750 0.750 0.750